1.
## Ca4CdIn2Au (PBE)

Data for a relaxed structure of Ca4CdIn2Au.

Geometry as POSCAR:
```
Ca4CdIn2Au
1.0
5.367 0.000 0.000
2.683 4.648 0.000
2.683 1.549 8.770
Ca Cd In Au
4 1 2 1
Cartesian
5.367 3.099 1.219
5.367 3.099 7.552
8.050 4.648 3.395
2.683 1.549 5.375
0.000 0.000 0.000
8.050 4.648 6.684
2.683 1.549 2.086
5.367 3.099 4.385
```

Properties
Calculated density   5.31 Mg/m³
Formation enthalpy at 0 K   -510 meV per atom
Spin magnetization   0.000 μB per formula unit
Crystal system   trigonal
Total energy   -2.72 eV/atom

=====

2.
## KCaCd2Au (PBE)

Data for a relaxed structure of KCaCd2Au.

Geometry as POSCAR:
```
KCaCd2Au
1.0
5.466 0.000 0.000
0.000 5.466 0.000
0.000 0.000 5.607
K Au Cd Ca
1 1 2 1
Cartesian
2.733 2.733 2.803
0.000 0.000 0.000
2.733 0.000 0.000
0.000 2.733 0.000
0.000 0.000 2.803
```

Properties
Calculated density   4.97 Mg/m³
Formation enthalpy at 0 K   -171 meV per atom
Spin magnetization   0.000 μB per formula unit
Crystal system   tetragonal
Total energy   -1.81 eV/atom

=====

3.
## LiCaCdAu (PBE)

Data for a relaxed structure of LiCaCdAu.

Geometry as POSCAR:
```
LiCaCdAu
1.0
4.946 0.000 0.000
2.473 4.284 0.000
2.473 1.428 4.039
Ca Li Au Cd
1 1 1 1
Cartesian
4.946 2.856 2.019
2.473 1.428 1.010
7.419 4.284 3.029
0.000 0.000 0.000
```

Properties
Calculated density   6.92 Mg/m³
Formation enthalpy at 0 K   -456 meV per atom
Spin magnetization   0.000 μB per formula unit
Crystal system   cubic
Total energy   -2.48 eV/atom

=====

4.
## Li2CaCdAu4 (PBE)

Data for a relaxed structure of Li2CaCdAu4.

Geometry as POSCAR:
```
Li2CaCdAu4
1.0
-3.185 0.128 -3.237
0.505 -2.464 -3.783
-5.146 -7.658 1.573
Au Li Cd Ca
4 2 1 1
Cartesian
-5.267 -7.187 -1.478
-4.181 -4.763 -5.639
-3.646 -5.231 0.192
-2.559 -2.807 -3.969
-2.092 -2.717 -1.237
-5.734 -7.277 -4.210
-3.913 -4.997 -2.724
0.000 0.000 0.000
```

Properties
Calculated density   9.87 Mg/m³
Formation enthalpy at 0 K   -497 meV per atom
Spin magnetization   0.000 μB per formula unit
Crystal system   trigonal
Total energy   -2.98 eV/atom

=====

5.
## Li2CaCdAu5 (PBE)

Data for a relaxed structure of Li2CaCdAu5.

Geometry as POSCAR:
```
Li2CaCdAu5
1.0
-2.305 2.578 3.168
1.582 -2.791 3.421
6.243 4.559 0.832
Au Li Cd Ca
5 2 1 1
Cartesian
2.329 -0.272 1.916
2.760 2.173 3.711
5.496 2.041 2.337
0.386 2.412 1.789
3.552 4.725 2.211
4.946 3.770 4.002
0.574 0.577 3.419
0.000 0.000 0.000
3.121 2.280 0.416
```

Properties
Calculated density   11.18 Mg/m³
Formation enthalpy at 0 K   -375 meV per atom
Spin magnetization   0.000 μB per formula unit
Crystal system   tetragonal
Total energy   -2.95 eV/atom

=====

6.
## LiCaCdAu (PBE)

Data for a relaxed structure of LiCaCdAu.

Geometry as POSCAR:
```
LiCaCdAu
1.0
4.826 0.000 0.000
0.000 4.826 0.004
-2.413 -2.412 3.821
Au Ca Cd Li
1 1 1 1
Cartesian
0.000 4.822 0.004
2.413 0.001 1.911
2.413 2.416 0.002
0.000 2.415 1.913
```

Properties
Calculated density   6.65 Mg/m³
Formation enthalpy at 0 K   -424 meV per atom
Spin magnetization   0.000 μB per formula unit
Crystal system   tetragonal
Total energy   -2.45 eV/atom